(1)
# PBE YTa7O19, optimized geometry
# Spin magnetization, μB per cell: 0.00
# Density of states at the Fermi level, states/eV/atom: 0.00
# Total energy, eV/atom: -9.73
# ΔE_f (raw), kJ per mole of atoms: -282.40
data_YTa7O19
_chemical_formula_sum 'Y2 Ta14 O38'
_cell_length_a 6.2705
_cell_length_b 6.2705
_cell_length_c 20.0882
_cell_angle_alpha 90.00
_cell_angle_beta 90.00
_cell_angle_gamma 120.00
_space_group_name_H-M_alt 'P -6 c 2'
_space_group_IT_number 188
_space_group_name_Hall 'P -6c 2'
loop_
_atom_site_label
_atom_site_type_symbol
_atom_site_fract_x
_atom_site_fract_y
_atom_site_fract_z
Y1 Y 0.0000 0.0000 0.0000
Ta1 Ta 0.3336 0.0260 0.1555
Ta2 Ta 0.6667 0.3333 0.0000
O1 O 0.0000 0.0000 0.1316
O2 O 0.0879 0.4214 0.6530
O3 O 0.2921 0.0435 0.2500
O4 O 0.3779 0.0970 0.0558
O5 O 0.6667 0.3333 0.1661

***

(2)
# PBE Tl2CoCuTe, optimized geometry
# Spin magnetization, μB per cell: 2.03
# Density of states at the Fermi level, states/eV/atom: 1.00
# Total energy, eV/atom: -3.27
# ΔE_f (raw), kJ per mole of atoms: 52.83
data_Tl2CoCuTe
_chemical_formula_sum 'Tl2 Co1 Cu1 Te1'
_cell_length_a 5.223
_cell_length_b 5.223
_cell_length_c 4.749
_cell_angle_alpha 90.00
_cell_angle_beta 90.00
_cell_angle_gamma 90.00
_space_group_name_H-M_alt 'P 4/m m m'
_space_group_IT_number 123
_space_group_name_Hall '-P 4 2'
loop_
_atom_site_label
_atom_site_type_symbol
_atom_site_fract_x
_atom_site_fract_y
_atom_site_fract_z
Tl1 Tl 0.000 0.500 0.000
Co1 Co 0.000 0.000 0.500
Cu1 Cu 0.000 0.000 0.000
Te1 Te 0.500 0.500 0.500

***

(3)
# PBE Pm2Pr5Dy4, optimized geometry
# Calculated formation energy, eV per formula unit: 0.782
# Spin magnetization, μB per cell: 0.00
# Density of states at the Fermi level, states/eV/atom: 1.42
# Total energy, eV/atom: -4.64
# Distance to the lowest polymorph of the same formula, meV per atom: 0
data_Pm2Pr5Dy4
_chemical_formula_sum 'Pm4 Pr10 Dy8'
_cell_length_a 17.965
_cell_length_b 3.577
_cell_length_c 11.780
_cell_angle_alpha 90.00
_cell_angle_beta 93.94
_cell_angle_gamma 90.00
_space_group_name_H-M_alt 'C 1 2/m 1'
_space_group_IT_number 12
loop_
_space_group_symop_operation_xyz
'x,y,z'
'-x,-y,-z'
'-x,y,-z'
'x,-y,z'
'x+1/2,y+1/2,z'
'-x+1/2,-y+1/2,-z'
'-x+1/2,y+1/2,-z'
'x+1/2,-y+1/2,z'
loop_
_atom_site_label
_atom_site_type_symbol
_atom_site_fract_x
_atom_site_fract_y
_atom_site_fract_z
Pm1 Pm 0.216 0.000 0.353
Pr1 Pr 0.000 0.000 0.000
Pr2 Pr 0.096 0.500 0.536
Pr3 Pr 0.176 0.500 0.071
Dy1 Dy 0.033 0.500 0.260
Dy2 Dy 0.140 0.000 0.797

***

(4)
# PBE Pm3Tl, optimized geometry
# Calculated formation energy, eV per formula unit: -0.730
# Spin magnetization, μB per cell: 0.00
# Density of states at the Fermi level, states/eV/atom: 1.32
# Total energy, eV/atom: -4.34
# Distance to the lowest polymorph of the same formula, meV per atom: 19
data_Pm3Tl
_chemical_formula_sum 'Pm6 Tl2'
_cell_length_a 4.873
_cell_length_b 4.873
_cell_length_c 10.272
_cell_angle_alpha 90.00
_cell_angle_beta 90.00
_cell_angle_gamma 90.00
_space_group_name_H-M_alt 'I 4/m m m'
_space_group_IT_number 139
_space_group_name_Hall '-I 4 2'
loop_
_atom_site_label
_atom_site_type_symbol
_atom_site_fract_x
_atom_site_fract_y
_atom_site_fract_z
Pm1 Pm 0.000 0.000 0.000
Pm2 Pm 0.000 0.500 0.250
Tl1 Tl 0.000 0.000 0.500